An optimized crystal structure of MnCCl2F. Source: the Alexandria database, functional PBE with a Hubbard U.

Computed properties:
Calculated volume, Å³/atom: 18.996
Density of states at the Fermi level, states/eV/cell: 1.7
Total energy, eV per formula unit: -17.99

Structure (CIF):
```
data_MnCCl2F
_space_group_name_H-M_alt 'P 4/m m m'
_space_group_IT_number 123
_space_group_name_Hall '-P 4 2'
_cell_length_a 5.311
_cell_length_b 5.311
_cell_length_c 3.367
_cell_angle_alpha 90.00
_cell_angle_beta 90.00
_cell_angle_gamma 90.00
loop_
_atom_site_label
_atom_site_fract_x
_atom_site_fract_y
_atom_site_fract_z
Mn1 0.000 0.000 0.000
C1 0.500 0.500 0.000
Cl1 0.000 0.500 0.500
F1 0.500 0.500 0.500
```